The following is a PBE calculation of crystalline CuAu at its relaxed geometry, from Alexandria via LeMat-Bulk.

Computed properties:
Mass density   14.02 g/cm³
Fermi-level density of states   0.67 states/eV/cell
Spin magnetization   0.0 Bohr magnetons per cell
Energy of formation from the pure elements   0.024 eV/atom

Unit cell a=2.887 b=2.887 c=4.588 alpha=71.66 beta=71.66 gamma=60.00
Sites, in units of the cell vectors:
Au (0.500, 0.500, 0.500)
Cu (0.000, 0.000, 0.000)